# 1
The following is a GGA-PBE calculation of a geometry-optimized RbTeHI2 structure, from Alexandria via LeMat-Bulk.

Properties
Distance to the lowest polymorph of the same formula ... 0 meV/atom
D(E_F) ... 4.0 states/eV/cell

```
RbTeHI2
1.0
6.239 0.000 0.000
0.000 6.239 0.000
0.000 0.000 4.021
Rb Te H I
1 1 1 2
direct
0.000 0.000 0.000 Rb
0.500 0.500 0.000 Te
0.500 0.500 0.500 H
0.000 0.500 0.500 I
0.500 0.000 0.500 I
```

# 2
The following is a GGA-PBE calculation of a geometry-optimized Rb2Te2H2I structure, from Alexandria via LeMat-Bulk.

```
Rb2Te2H2I
1.0
8.820 0.000 0.000
0.000 6.050 0.000
-2.910 0.000 10.498
Rb Te H I
4 4 4 2
direct
0.086 0.000 0.310 Rb
0.414 0.500 0.690 Rb
0.586 0.500 0.310 Rb
0.914 0.000 0.690 Rb
0.143 0.500 0.133 Te
0.357 0.000 0.867 Te
0.643 0.000 0.133 Te
0.857 0.500 0.867 Te
0.241 0.000 0.966 H
0.259 0.500 0.034 H
0.741 0.500 0.966 H
0.759 0.000 0.034 H
0.000 0.500 0.500 I
0.500 0.000 0.500 I
```

# 3
The following is a GGA-PBE calculation of a geometry-optimized Rb2TiHI6 structure, from Alexandria via LeMat-Bulk.

Properties
D(E_F) ... 0.0 states/eV/cell

```
Rb2TiHI6
1.0
-4.090 4.090 5.819
4.090 -4.090 5.819
4.090 4.090 -5.819
Rb Ti H I
2 1 1 6
direct
0.250 0.750 0.500 Rb
0.750 0.250 0.500 Rb
0.000 0.000 0.000 Ti
0.500 0.500 0.000 H
0.239 0.239 0.000 I
0.240 0.240 0.480 I
0.240 0.760 0.000 I
0.760 0.240 0.000 I
0.760 0.760 0.520 I
0.761 0.761 0.000 I
```

The size of the total moment results, record by record, are as follows: 0.05, 1.01, 1.00 μB/f.u..
The calculated total energy results, record by record, are as follows: -11.7, -40.0, -29.9 eV/cell.